Record 1
{"formula": "Ca3AlPd2", "functional": "PBE-GGA", "state": "optimized geometry", "lattice_angstrom": [[-3.7812, -1.2813, 1.1384], [1.1848, -4.4000, -1.0169], [3.7602, 1.8741, 7.0292]], "species": ["Ca", "Ca", "Ca", "Al", "Pd", "Pd"], "frac_coords": [[0.5000, 0.5000, 0.0000], [0.8184, 0.3186, 0.6368], [0.1816, 0.6814, 0.3632], [0.0000, 0.0000, 0.0000], [0.3876, 0.8872, 0.7750], [0.6125, 0.1128, 0.2250]], "vol_a3_per_atom": 24.45}



Record 2
{"formula": "Sm6Se8I", "functional": "PBE-GGA", "state": "optimized geometry", "lattice_angstrom": [[-0.9170, -2.1066, 3.5821], [-1.9693, -9.5766, -6.1359], [10.5962, 2.2078, 4.0108]], "species": ["Sm", "Sm", "Sm", "Sm", "Sm", "Sm", "Se", "Se", "Se", "Se", "Se", "Se", "Se", "Se", "I"], "frac_coords": [[0.7464, 0.5315, 0.6709], [0.7464, 0.3291, 0.8606], [0.7464, 0.1394, 0.4685], [0.2536, 0.4685, 0.3291], [0.2536, 0.6709, 0.1394], [0.2536, 0.8606, 0.5315], [0.7542, 0.6158, 0.9511], [0.7542, 0.0489, 0.6647], [0.7542, 0.3353, 0.3842], [0.2458, 0.3842, 0.0489], [0.2458, 0.9511, 0.3353], [0.2458, 0.6647, 0.6158], [0.7520, 0.6667, 0.3333], [0.2480, 0.3333, 0.6667], [0.5000, 0.0000, 0.0000]], "vol_a3_per_atom": 32.74, "formation_energy_uncorrected_ev_per_atom": -1.700}



Number 1: VASP energy -23.4 eV/f.u., total magnetic moment 0.00 μB per atom. Number 2: VASP energy -83.2 eV/f.u., total magnetic moment 0.00 μB per atom.